## YMoNO2 (PBE with a Hubbard U)

Data for a relaxed YMoNO2 crystal.

Cell lengths 4.053, 4.053, 3.991 Å; angles 90.00, 90.00, 90.00 degrees
Each line ends with the local moment (μB).
Fractional coordinates of all 5 atoms:
O (0.000, 0.500, 0.000)  0.05
Mo (0.000, 0.000, 0.000)  1.80
N (0.000, 0.000, 0.500)  -0.12
Y (0.500, 0.500, 0.500)  0.06
O (0.500, 0.000, 0.000)  0.05

Output
energy	-7.84	eV per atom
magnetic moment	0.388	μB/atom
volume	65.57	Å³/f.u.